1.
DFT (GGA-PBE) results for a relaxed Na3CrPb crystal.

Lattice parameters (Å, degrees): 5.8999 5.8999 5.8999 90.00 90.00 90.00
Site moments in Bohr magnetons follow the coordinates.
Sites, in units of the cell vectors:
Na 0.0000 0.5000 0.0000  -0.01
Na 0.0000 0.0000 0.5000  -0.02
Na 0.5000 0.0000 0.0000  0.00
Cr 0.5000 0.5000 0.5000  4.42
Pb 0.0000 0.0000 0.0000  -0.22

Values from the calculation:
Final energy (eV/cell): -13.68
Energy of formation (eV/atom): 0.72
Distance to the lowest polymorph of the same formula (eV per formula unit): 0.00
Magnetization (μB per formula unit): 4.976

2.
DFT (GGA-PBE) results for a relaxed NaCrTePb2 crystal.

Lattice parameters (Å, degrees): 6.1219 5.4352 6.1219 90.00 90.00 90.00
Site moments in Bohr magnetons follow the coordinates.
Sites, in units of the cell vectors:
Cr 0.5000 0.5000 0.5000  4.26
Te 0.0000 0.0000 0.0000  0.01
Na 0.0000 0.5000 0.0000  0.00
Pb 0.5000 0.0000 0.0000  -0.07
Pb 0.0000 0.0000 0.5000  -0.05

Values from the calculation:
Final energy (eV/cell): -18.13
Magnetization (μB per formula unit): 4.673
Uncorrected formation energy (meV/atom): 674

3.
DFT (GGA-PBE) results for a relaxed NaCr2Pd2 crystal.

Lattice parameters (Å, degrees): 7.6364 7.6364 2.7216 90.00 90.00 90.00
Sites, in units of the cell vectors:
Cr 0.9129 0.5871 0.0000
Na 0.0000 0.0000 0.0000
Na 0.5000 0.5000 0.0000
Pd 0.2994 0.2006 0.5000
Cr 0.4129 0.9129 0.0000
Pd 0.2006 0.7006 0.5000
Cr 0.5871 0.0871 0.0000
Pd 0.7006 0.7994 0.5000
Pd 0.7994 0.2994 0.5000
Cr 0.0871 0.4129 0.0000

Values from the calculation:
Final energy (eV/cell): -59.89
Energy of formation (eV/atom): 0.20
Magnetization (μB per formula unit): 0.000

4.
DFT (GGA-PBE) results for a relaxed Na2CrPd2 crystal.

Lattice parameters (Å, degrees): 6.6019 6.6019 4.7439 90.00 90.00 90.00
Site moments in Bohr magnetons follow the coordinates.
Sites, in units of the cell vectors:
Pd 0.6390 0.1390 0.0000  0.03
Cr 0.0000 0.0000 0.0000  3.52
Pd 0.1390 0.3610 0.0000  0.05
Na 0.8313 0.3313 0.5000  0.00
Pd 0.8610 0.6390 0.0000  0.05
Na 0.1687 0.6687 0.5000  0.00
Cr 0.5000 0.5000 0.0000  3.52
Pd 0.3610 0.8610 0.0000  0.03
Na 0.3313 0.1687 0.5000  -0.01
Na 0.6687 0.8313 0.5000  -0.01

Values from the calculation:
Final energy (eV/cell): -43.50
Energy of formation (eV/atom): 0.18
Magnetization (μB per formula unit): 4.095

5.
DFT (GGA-PBE) results for a relaxed RbNaCrPd2 crystal.

Lattice parameters (Å, degrees): 4.9466 5.8363 4.9466 90.00 90.00 90.00
Site moments in Bohr magnetons follow the coordinates.
Sites, in units of the cell vectors:
Pd 0.0000 0.0000 0.5000  0.13
Cr 0.0000 0.0000 0.0000  3.54
Pd 0.5000 0.0000 0.0000  0.07
Rb 0.0000 0.5000 0.0000  0.04
Na 0.5000 0.5000 0.5000  -0.01

Values from the calculation:
Final energy (eV/cell): -18.90
Energy of formation (eV/atom): 0.68
Magnetization (μB per formula unit): 4.195

6.
DFT (GGA-PBE) results for a relaxed NaCrPdSe3 crystal.

Lattice parameters (Å, degrees): 3.7125 7.7866 9.0641 106.04 90.00 90.00
Site moments in Bohr magnetons follow the coordinates.
Sites, in units of the cell vectors:
Na 0.7500 0.7956 0.7466  0.00
Pd 0.2500 0.1165 0.5815  -0.16
Cr 0.2500 0.6720 0.1634  2.58
Se 0.7500 0.8817 0.1389  -0.14
Se 0.2500 0.6881 0.4448  -0.12
Cr 0.7500 0.3280 0.8366  2.58
Pd 0.7500 0.8835 0.4185  -0.16
Na 0.2500 0.2044 0.2534  0.00
Se 0.2500 0.1183 0.8611  -0.14
Se 0.2500 0.5623 0.8695  -0.16
Se 0.7500 0.4377 0.1305  -0.16
Se 0.7500 0.3119 0.5552  -0.12

Values from the calculation:
Final energy (eV/cell): -59.76
Magnetization (μB per formula unit): 1.999
Uncorrected formation energy (meV/atom): -549

7.
DFT (GGA-PBE) results for a relaxed Na3CrPd2Se6 crystal.

Lattice parameters (Å, degrees): 6.6328 6.6328 7.1580 98.93 98.93 120.04
Site moments in Bohr magnetons follow the coordinates.
Sites, in units of the cell vectors:
Na 0.8287 0.1713 0.5000  0.00
Se 0.7408 0.7408 0.1979  -0.06
Se 0.3909 0.0660 0.1970  -0.06
Cr 0.0000 0.0000 0.0000  2.83
Na 0.5000 0.5000 0.5000  0.00
Se 0.6091 0.9340 0.8030  -0.06
Se 0.2592 0.2592 0.8021  -0.06
Na 0.1713 0.8287 0.5000  0.00
Pd 0.6666 0.3334 0.0000  -0.11
Pd 0.3334 0.6666 0.0000  -0.11
Se 0.9340 0.6091 0.8030  -0.06
Se 0.0660 0.3909 0.1970  -0.06

Values from the calculation:
Final energy (eV/cell): -52.21
Magnetization (μB per formula unit): 2.237
Uncorrected formation energy (meV/atom): -611

8.
DFT (GGA-PBE) results for a relaxed NaCrPd2Se crystal.

Lattice parameters (Å, degrees): 4.6511 4.8770 4.6511 90.00 90.00 90.00
Site moments in Bohr magnetons follow the coordinates.
Sites, in units of the cell vectors:
Se 0.5000 0.5000 0.5000  -0.09
Pd 0.5000 0.0000 0.0000  0.03
Pd 0.0000 0.0000 0.5000  0.07
Na 0.0000 0.0000 0.0000  0.03
Cr 0.0000 0.5000 0.0000  4.09

Values from the calculation:
Final energy (eV/cell): -19.38
Magnetization (μB per formula unit): 4.672
Uncorrected formation energy (meV/atom): 1087

9.
DFT (GGA-PBE) results for a relaxed Na3Cr2PdSe6 crystal.

Lattice parameters (Å, degrees): 6.5973 6.5973 7.1498 98.91 98.91 120.01
Site moments in Bohr magnetons follow the coordinates.
Sites, in units of the cell vectors:
Cr 0.3333 0.6667 0.0000  2.91
Pd 0.0000 0.0000 0.0000  -0.25
Na 0.1628 0.8372 0.5000  0.00
Se 0.7268 0.7268 0.1982  -0.11
Se 0.4052 0.0663 0.1987  -0.10
Na 0.8372 0.1628 0.5000  0.00
Se 0.5948 0.9337 0.8013  -0.10
Se 0.9337 0.5948 0.8013  -0.10
Cr 0.6667 0.3333 0.0000  2.91
Na 0.5000 0.5000 0.5000  0.00
Se 0.2732 0.2732 0.8018  -0.11
Se 0.0663 0.4052 0.1987  -0.10

Values from the calculation:
Final energy (eV/cell): -57.67
Magnetization (μB per formula unit): 5.105
Uncorrected formation energy (meV/atom): -697

10.
DFT (GGA-PBE) results for a relaxed NaTi2CrPd crystal.

Lattice parameters (Å, degrees): 4.4649 4.8792 4.4649 90.00 90.00 90.00
Sites, in units of the cell vectors:
Cr 0.0000 0.0000 0.0000
Na 0.5000 0.5000 0.5000
Ti 0.5000 0.0000 0.0000
Pd 0.0000 0.5000 0.0000
Ti 0.0000 0.0000 0.5000

Values from the calculation:
Final energy (eV/cell): -29.29
Energy of formation (eV/atom): 0.53
Magnetization (μB per formula unit): 0.000

11.
DFT (GGA-PBE) results for a relaxed Na2PmCrSe4 crystal.

Lattice parameters (Å, degrees): 4.0352 6.9193 7.3941 108.55 90.00 90.00
Site moments in Bohr magnetons follow the coordinates.
Sites, in units of the cell vectors:
Cr 0.5000 0.5000 0.0000  3.04
Pm 0.0000 0.0000 0.0000  0.01
Se 0.5000 0.2711 0.2275  -0.03
Na 0.5000 0.0000 0.5000  0.00
Se 0.5000 0.7289 0.7725  -0.03
Se 0.0000 0.2933 0.7910  -0.08
Se 0.0000 0.7067 0.2090  -0.08
Na 0.0000 0.5000 0.5000  0.00

Values from the calculation:
Final energy (eV/cell): -40.33
Magnetization (μB per formula unit): 3.000
Uncorrected formation energy (meV/atom): -1173

12.
DFT (GGA-PBE) results for a relaxed NaCrPt3 crystal.

Lattice parameters (Å, degrees): 4.6538 4.6538 4.6538 90.00 90.00 90.00
Sites, in units of the cell vectors:
Pt 0.0000 0.5000 0.0000
Cr 0.0000 0.0000 0.0000
Pt 0.5000 0.0000 0.0000
Na 0.5000 0.5000 0.5000
Pt 0.0000 0.0000 0.5000

Values from the calculation:
Final energy (eV/cell): -26.42
Energy of formation (eV/atom): 0.53
Distance to the lowest polymorph of the same formula (eV per formula unit): 0.00
Magnetization (μB per formula unit): 0.000

13.
DFT (GGA-PBE) results for a relaxed NaCr2Pt crystal.

Lattice parameters (Å, degrees): 7.6010 7.6010 6.0961 51.43 51.43 90.00
Site moments in Bohr magnetons follow the coordinates.
Sites, in units of the cell vectors:
Cr 0.8750 0.9282 0.7500  3.64
Pt 0.7500 0.2500 0.5000  0.04
Cr 0.0718 0.6250 0.2500  3.64
Na 0.5000 0.5000 0.0000  0.00
Cr 0.3750 0.3218 0.7500  3.64
Pt 0.0000 0.0000 0.0000  0.04
Na 0.2500 0.7500 0.5000  0.00
Cr 0.6782 0.1250 0.2500  3.64

Values from the calculation:
Final energy (eV/cell): -47.12
Energy of formation (eV/atom): 0.76
Distance to the lowest polymorph of the same formula (eV per formula unit): 1.08
Magnetization (μB per formula unit): 8.248

14.
DFT (GGA-PBE) results for a relaxed NaCrPt2 crystal.

Lattice parameters (Å, degrees): 7.2747 7.2747 5.8145 51.28 51.28 90.00
Site moments in Bohr magnetons follow the coordinates.
Sites, in units of the cell vectors:
Na 0.2500 0.7500 0.5000  0.01
Pt 0.3750 0.3397 0.7500  -0.01
Cr 0.7500 0.2500 0.5000  2.94
Pt 0.8750 0.9103 0.7500  -0.03
Pt 0.0897 0.6250 0.2500  -0.03
Pt 0.6603 0.1250 0.2500  -0.03
Na 0.5000 0.5000 0.0000  0.01
Cr 0.0000 0.0000 0.0000  2.94

Values from the calculation:
Final energy (eV/cell): -44.21
Energy of formation (eV/atom): 0.23
Magnetization (μB per formula unit): 3.184

15.
DFT (GGA-PBE) results for a relaxed NaCr2Pt crystal.

Lattice parameters (Å, degrees): 4.5925 4.5925 4.5925 60.00 60.00 60.00
Site moments in Bohr magnetons follow the coordinates.
Sites, in units of the cell vectors:
Cr 0.7500 0.7500 0.7500  3.66
Pt 0.5000 0.5000 0.5000  0.18
Cr 0.2500 0.2500 0.2500  3.66
Na 0.0000 0.0000 0.0000  0.03

Values from the calculation:
Final energy (eV/cell): -24.64
Energy of formation (eV/atom): 0.49
Distance to the lowest polymorph of the same formula (eV per formula unit): 0.00
Magnetization (μB per formula unit): 8.482

16.
DFT (GGA-PBE) results for a relaxed Na2CrPt2 crystal.

Lattice parameters (Å, degrees): 4.8144 4.8144 5.3189 63.09 63.09 90.00
Site moments in Bohr magnetons follow the coordinates.
Sites, in units of the cell vectors:
Pt 0.2500 0.7500 0.5000  -0.01
Cr 0.0000 0.0000 0.0000  -3.77
Pt 0.7500 0.2500 0.5000  -0.01
Na 0.6306 0.6306 0.7388  0.00
Na 0.3694 0.3694 0.2612  0.00

Values from the calculation:
Final energy (eV/cell): -21.01
Energy of formation (eV/atom): 0.67
Distance to the lowest polymorph of the same formula (eV per formula unit): 1.68
Magnetization (μB per formula unit): 4.252

17.
DFT (GGA-PBE) results for a relaxed Na2CrPt2 crystal.

Lattice parameters (Å, degrees): 7.9519 7.9519 2.8423 90.00 90.00 90.00
Site moments in Bohr magnetons follow the coordinates.
Sites, in units of the cell vectors:
Cr 0.5000 0.5000 0.0000  3.80
Pt 0.8099 0.3099 0.5000  0.01
Na 0.3892 0.8892 0.0000  0.00
Pt 0.3099 0.1901 0.5000  0.00
Pt 0.6901 0.8099 0.5000  0.00
Na 0.8892 0.6108 0.0000  0.00
Na 0.6108 0.1108 0.0000  0.00
Cr 0.0000 0.0000 0.0000  3.80
Na 0.1108 0.3892 0.0000  0.00
Pt 0.1901 0.6901 0.5000  0.01

Values from the calculation:
Final energy (eV/cell): -45.37
Energy of formation (eV/atom): 0.33
Distance to the lowest polymorph of the same formula (eV per formula unit): 0.00
Magnetization (μB per formula unit): 4.318

18.
DFT (GGA-PBE) results for a relaxed NaCrPt2 crystal.

Lattice parameters (Å, degrees): 2.7876 2.7876 8.1991 90.00 90.00 90.00
Site moments in Bohr magnetons follow the coordinates.
Sites, in units of the cell vectors:
Pt 0.0000 0.0000 0.2089  0.02
Cr 0.5000 0.5000 0.0000  0.88
Pt 0.0000 0.0000 0.7911  0.02
Na 0.5000 0.5000 0.5000  0.00

Values from the calculation:
Final energy (eV/cell): -23.66
Energy of formation (eV/atom): -0.16
Magnetization (μB per formula unit): 1.015

19.
DFT (GGA-PBE) results for a relaxed NaCrPt3 crystal.

Lattice parameters (Å, degrees): 4.5368 4.5368 4.5368 90.00 90.00 90.00
Site moments in Bohr magnetons follow the coordinates.
Sites, in units of the cell vectors:
Pt 0.0000 0.0000 0.5000  0.05
Pt 0.0000 0.5000 0.0000  0.01
Na 0.0000 0.0000 0.0000  0.00
Cr 0.5000 0.5000 0.5000  0.01
Pt 0.5000 0.0000 0.0000  -0.06

Values from the calculation:
Final energy (eV/cell): -20.24
Energy of formation (eV/atom): 1.77
Distance to the lowest polymorph of the same formula (eV per formula unit): 6.19
Magnetization (μB per formula unit): 0.042

20.
DFT (GGA-PBE) results for a relaxed NaCr2RuPt crystal.

Lattice parameters (Å, degrees): 4.3920 4.8846 4.3920 90.00 90.00 90.00
Site moments in Bohr magnetons follow the coordinates.
Sites, in units of the cell vectors:
Ru 0.0000 0.0000 0.0000  -0.01
Pt 0.5000 0.5000 0.5000  -0.12
Cr 0.0000 0.0000 0.5000  0.36
Cr 0.5000 0.0000 0.0000  0.35
Na 0.0000 0.5000 0.0000  0.00

Values from the calculation:
Final energy (eV/cell): -28.37
Energy of formation (eV/atom): 1.50
Magnetization (μB per formula unit): 0.623

21.
DFT (GGA-PBE) results for a relaxed NaSrCr2Pt crystal.

Lattice parameters (Å, degrees): 5.0495 5.0076 5.0495 90.00 90.00 90.00
Site moments in Bohr magnetons follow the coordinates.
Sites, in units of the cell vectors:
Pt 0.5000 0.5000 0.5000  0.08
Cr 0.5000 0.0000 0.0000  3.99
Cr 0.0000 0.0000 0.5000  3.55
Sr 0.0000 0.0000 0.0000  0.20
Na 0.0000 0.5000 0.0000  -0.01

Values from the calculation:
Final energy (eV/cell): -18.13
Energy of formation (eV/atom): 2.03
Distance to the lowest polymorph of the same formula (eV per formula unit): 5.16
Magnetization (μB per formula unit): 8.576

22.
DFT (GGA-PBE) results for a relaxed NaSrCr2Pt crystal.

Lattice parameters (Å, degrees): 5.0094 5.1029 5.0094 90.00 90.00 90.00
Site moments in Bohr magnetons follow the coordinates.
Sites, in units of the cell vectors:
Sr 0.5000 0.5000 0.5000  0.03
Pt 0.0000 0.5000 0.0000  0.04
Cr 0.0000 0.0000 0.5000  4.12
Cr 0.5000 0.0000 0.0000  4.05
Na 0.0000 0.0000 0.0000  0.04

Values from the calculation:
Final energy (eV/cell): -23.29
Energy of formation (eV/atom): 1.00
Distance to the lowest polymorph of the same formula (eV per formula unit): 0.00
Magnetization (μB per formula unit): 9.696

23.
DFT (GGA-PBE) results for a relaxed Na3PuCr2S6 crystal.

Lattice parameters (Å, degrees): 6.4149 6.4149 6.9996 98.89 98.89 120.04
Site moments in Bohr magnetons follow the coordinates.
Sites, in units of the cell vectors:
Na 0.8388 0.1612 0.5000  0.00
S 0.9297 0.5673 0.7911  -0.10
Na 0.5000 0.5000 0.5000  0.00
Pu 0.0000 0.0000 0.0000  4.95
S 0.7082 0.7082 0.2095  -0.10
S 0.5673 0.9297 0.7911  -0.10
S 0.4327 0.0703 0.2089  -0.10
Cr 0.3327 0.6673 0.0000  3.01
Na 0.1612 0.8388 0.5000  0.00
S 0.2918 0.2918 0.7905  -0.10
S 0.0703 0.4327 0.2089  -0.10
Cr 0.6673 0.3327 0.0000  3.01

Values from the calculation:
Final energy (eV/cell): -75.72
Magnetization (μB per formula unit): 11.000
Uncorrected formation energy (meV/atom): -1118

24.
DFT (GGA-PBE) results for a relaxed Na4Pu3CrSe8 crystal.

Lattice parameters (Å, degrees): 8.2010 8.4202 8.2022 119.18 120.00 90.00
Site moments in Bohr magnetons follow the coordinates.
Sites, in units of the cell vectors:
Pu 0.5000 0.5000 0.0000  -5.05
Se 0.7442 0.7325 0.4885  0.11
Na 0.0000 0.0000 0.5000  0.00
Se 0.2284 0.7203 0.9921  0.05
Pu 0.5000 0.5000 0.5000  -5.05
Se 0.7716 0.2797 0.0079  0.05
Pu 0.0000 0.5000 0.5000  -5.05
Se 0.2558 0.2675 0.5115  0.11
Na 0.0000 0.0000 0.0000  0.00
Cr 0.0000 0.5000 0.0000  3.05
Na 0.5000 0.0000 0.0000  0.00
Se 0.2363 0.2797 0.0079  0.05
Se 0.7637 0.7203 0.9921  0.05
Na 0.5000 0.0000 0.5000  0.00
Se 0.2285 0.7204 0.4570  0.05
Se 0.7715 0.2796 0.5430  0.05

Values from the calculation:
Final energy (eV/cell): -105.15
Magnetization (μB per formula unit): 11.550
Uncorrected formation energy (meV/atom): -1211

25.
DFT (GGA-PBE) results for a relaxed RbNaCrS3 crystal.

Lattice parameters (Å, degrees): 6.6093 7.0961 7.4508 118.44 90.00 90.00
Site moments in Bohr magnetons follow the coordinates.
Sites, in units of the cell vectors:
Cr 0.2500 0.0525 0.1049  2.14
S 0.7500 0.7829 0.5657  -0.07
S 0.0000 0.7884 0.0000  -0.10
S 0.2500 0.2171 0.4343  -0.07
Na 0.7500 0.5743 0.1485  0.01
Cr 0.7500 0.9475 0.8951  2.14
S 0.5000 0.2116 0.0000  -0.10
S 0.0000 0.2116 0.0000  -0.10
Na 0.2500 0.4257 0.8515  0.01
Rb 0.7500 0.2372 0.4745  0.00
Rb 0.2500 0.7628 0.5255  0.00
S 0.5000 0.7884 0.0000  -0.10

Values from the calculation:
Final energy (eV/cell): -59.10
Magnetization (μB per formula unit): 2.000
Uncorrected formation energy (meV/atom): -877